Computed, not measured: a relaxed InNiO2F crystal at the GGA+U level of DFT.

Calculated values
E_tot: -4.456 eV per atom
Total magnetic moment: 0.33 μB per atom
Symmetry: P4/mmm

The structure in POSCAR format:
```
InNiO2F
1.0
3.938 0.000 0.000
0.000 3.938 0.000
0.000 0.000 3.790
O Ni F In
2 1 1 1
direct
0.000 0.500 0.000 O
0.500 0.000 0.000 O
0.000 0.000 0.000 Ni
0.000 0.000 0.500 F
0.500 0.500 0.500 In
```